[1]
# InMo2Pb

A relaxed InMo2Pb crystal (PBE, the Alexandria database).

Computed properties:
M_tot	0.00	μB per atom
DFT total energy	-25.27	eV for the cell shown
space-group type	I-4m2
energy of formation	0.711	eV/atom

Unit cell a=5.273 b=5.273 c=5.273 alpha=133.09 beta=133.09 gamma=68.51
Fractional coordinates of all 4 atoms:
In (0.750, 0.250, 0.500)
Mo (0.000, 0.000, 0.000)
Mo (0.250, 0.750, 0.500)
Pb (0.500, 0.500, 0.000)

---

[2]
# In2MoPb

A relaxed In2MoPb crystal (PBE, the Alexandria database).

Computed properties:
M_tot	0.00	μB per atom
DFT total energy	-18.78	eV for the cell shown
space-group type	Imm2
energy of formation	0.308	eV/atom

Unit cell a=7.556 b=7.556 c=4.892 alpha=71.10 beta=71.10 gamma=22.78
Fractional coordinates of all 4 atoms:
In (0.997, 0.997, 0.002)
In (0.822, 0.822, 0.678)
Mo (0.498, 0.498, 0.502)
Pb (0.183, 0.183, 0.317)

---

[3]
# In2MoPb

A relaxed In2MoPb crystal (PBE, the Alexandria database).

Computed properties:
M_tot	0.17	μB per atom
DFT total energy	-17.72	eV for the cell shown
space-group type	Cmmm
energy of formation	0.574	eV/atom

Unit cell a=5.539 b=5.539 c=3.096 alpha=90.00 beta=90.00 gamma=109.27
Last column: magnetic moment on the atom in μB.
Fractional coordinates of all 4 atoms:
In (0.000, 0.000, 0.000)  -0.01
In (0.500, 0.500, 0.000)  -0.01
Mo (0.500, 0.000, 0.500)  0.60
Pb (0.000, 0.500, 0.500)  0.01

---

[4]
# InMo2Pb

A relaxed InMo2Pb crystal (PBE, the Alexandria database).

Computed properties:
M_tot	0.00	μB per atom
DFT total energy	-25.16	eV for the cell shown
space-group type	Cmmm
energy of formation	0.737	eV/atom

Unit cell a=3.013 b=3.013 c=9.169 alpha=90.00 beta=90.00 gamma=110.08
Fractional coordinates of all 4 atoms:
In (0.500, 0.500, 0.750)
Mo (0.000, 0.000, 0.997)
Mo (0.000, 0.000, 0.503)
Pb (0.500, 0.500, 0.250)

---

[5]
# InMo2Pb

A relaxed InMo2Pb crystal (PBE, the Alexandria database).

Computed properties:
M_tot	0.00	μB per atom
DFT total energy	-26.69	eV for the cell shown
space-group type	R3m
energy of formation	0.356	eV/atom

Unit cell a=9.590 b=9.590 c=9.590 alpha=19.26 beta=19.26 gamma=19.26
Fractional coordinates of all 4 atoms:
In (0.740, 0.740, 0.740)
Mo (0.991, 0.991, 0.991)
Mo (0.261, 0.261, 0.261)
Pb (0.508, 0.508, 0.508)

---

[6]
# In2MoPb

A relaxed In2MoPb crystal (PBE, the Alexandria database).

Computed properties:
M_tot	0.00	μB per atom
DFT total energy	-18.31	eV for the cell shown
space-group type	R3m
energy of formation	0.427	eV/atom

Unit cell a=11.062 b=11.062 c=11.062 alpha=16.61 beta=16.61 gamma=16.61
Fractional coordinates of all 4 atoms:
In (0.992, 0.992, 0.992)
In (0.240, 0.240, 0.240)
Mo (0.504, 0.504, 0.504)
Pb (0.764, 0.764, 0.764)

---

[7]
# InMo2Pb

A relaxed InMo2Pb crystal (PBE, the Alexandria database).

Computed properties:
M_tot	0.00	μB per atom
DFT total energy	-24.82	eV for the cell shown
space-group type	P4/mmm
energy of formation	0.823	eV/atom

Unit cell a=2.960 b=2.960 c=8.937 alpha=90.00 beta=90.00 gamma=90.00
Fractional coordinates of all 4 atoms:
In (0.500, 0.500, 0.750)
Mo (0.000, 0.000, 0.989)
Mo (0.000, 0.000, 0.511)
Pb (0.500, 0.500, 0.250)

---

[8]
# In2MoPb

A relaxed In2MoPb crystal (PBE, the Alexandria database).

Computed properties:
M_tot	0.78	μB per atom
DFT total energy	-17.09	eV for the cell shown
space-group type	F-43m
energy of formation	0.731	eV/atom

Unit cell a=5.164 b=5.164 c=5.164 alpha=60.00 beta=60.00 gamma=60.00
Last column: magnetic moment on the atom in μB.
Fractional coordinates of all 4 atoms:
In (0.000, 0.000, 0.000)  0.01
In (0.750, 0.750, 0.750)  -0.01
Mo (0.500, 0.500, 0.500)  2.58
Pb (0.250, 0.250, 0.250)  -0.01

---

[9]
# In3MoPd

A relaxed In3MoPd crystal (PBE, the Alexandria database).

Computed properties:
M_tot	0.14	μB per atom
DFT total energy	-20.19	eV for the cell shown
space-group type	Pm-3m
energy of formation	0.810	eV/atom

Unit cell a=5.220 b=5.220 c=5.220 alpha=90.00 beta=90.00 gamma=90.00
Last column: magnetic moment on the atom in μB.
Fractional coordinates of all 5 atoms:
Mo (0.000, 0.000, 0.000)  0.66
Pd (0.500, 0.500, 0.500)  0.04
In (0.000, 0.500, 0.000)  0.01
In (0.000, 0.000, 0.500)  0.01
In (0.500, 0.000, 0.000)  -0.02

---

[10]
# InMoPd3

A relaxed InMoPd3 crystal (PBE, the Alexandria database).

Computed properties:
M_tot	0.00	μB per atom
DFT total energy	-24.64	eV for the cell shown
space-group type	Pm-3m
energy of formation	0.901	eV/atom

Unit cell a=4.845 b=4.845 c=4.845 alpha=90.00 beta=90.00 gamma=90.00
Fractional coordinates of all 5 atoms:
Mo (0.000, 0.000, 0.000)
Pd (0.000, 0.500, 0.000)
Pd (0.000, 0.000, 0.500)
Pd (0.500, 0.000, 0.000)
In (0.500, 0.500, 0.500)

---

[11]
# InMo3Pd

A relaxed InMo3Pd crystal (PBE, the Alexandria database).

Computed properties:
M_tot	0.00	μB per atom
DFT total energy	-31.83	eV for the cell shown
space-group type	Pm-3m
energy of formation	1.718	eV/atom

Unit cell a=4.754 b=4.754 c=4.754 alpha=90.00 beta=90.00 gamma=90.00
Fractional coordinates of all 5 atoms:
Mo (0.000, 0.500, 0.000)
Mo (0.000, 0.000, 0.500)
Mo (0.500, 0.000, 0.000)
Pd (0.000, 0.000, 0.000)
In (0.500, 0.500, 0.500)

---

[12]
# InMoPd3

A relaxed InMoPd3 crystal (PBE, the Alexandria database).

Computed properties:
M_tot	0.02	μB per atom
DFT total energy	-22.19	eV for the cell shown
space-group type	Pm-3m
energy of formation	1.391	eV/atom

Unit cell a=4.841 b=4.841 c=4.841 alpha=90.00 beta=90.00 gamma=90.00
Fractional coordinates of all 5 atoms:
Mo (0.500, 0.500, 0.500)
Pd (0.000, 0.500, 0.000)
Pd (0.000, 0.000, 0.500)
Pd (0.500, 0.000, 0.000)
In (0.000, 0.000, 0.000)

---

[13]
# In3MoPd

A relaxed In3MoPd crystal (PBE, the Alexandria database).

Computed properties:
M_tot	0.82	μB per atom
DFT total energy	-20.65	eV for the cell shown
space-group type	Pm-3m
energy of formation	0.717	eV/atom

Unit cell a=5.094 b=5.094 c=5.094 alpha=90.00 beta=90.00 gamma=90.00
Last column: magnetic moment on the atom in μB.
Fractional coordinates of all 5 atoms:
Mo (0.500, 0.500, 0.500)  3.41
Pd (0.000, 0.000, 0.000)  0.02
In (0.000, 0.500, 0.000)  -0.01
In (0.000, 0.000, 0.500)  -0.02
In (0.500, 0.000, 0.000)  0.02

---

[14]
# InMoPd6

A relaxed InMoPd6 crystal (PBE, the Alexandria database).

Computed properties:
M_tot	0.14	μB per atom
DFT total energy	-46.70	eV for the cell shown
space-group type	P4/mmm
energy of formation	-0.247	eV/atom

Unit cell a=3.977 b=3.977 c=8.026 alpha=90.00 beta=90.00 gamma=90.00
Last column: magnetic moment on the atom in μB.
Fractional coordinates of all 8 atoms:
In (0.000, 0.000, 0.000)  0.00
Mo (0.000, 0.000, 0.500)  0.86
Pd (0.500, 0.500, 0.000)  0.02
Pd (0.500, 0.500, 0.500)  0.02
Pd (0.500, 0.000, 0.262)  0.03
Pd (0.500, 0.000, 0.738)  0.03
Pd (0.000, 0.500, 0.262)  0.03
Pd (0.000, 0.500, 0.738)  0.03

---

[15]
# InMoPdPt2

A relaxed InMoPdPt2 crystal (PBE, the Alexandria database).

Computed properties:
M_tot	0.84	μB per atom
DFT total energy	-24.29	eV for the cell shown
space-group type	P4/mmm
energy of formation	1.311	eV/atom

Unit cell a=4.916 b=4.822 c=4.916 alpha=90.00 beta=90.00 gamma=90.00
Last column: magnetic moment on the atom in μB.
Fractional coordinates of all 5 atoms:
Mo (0.500, 0.500, 0.500)  3.34
Pd (0.000, 0.500, 0.000)  0.07
Pt (0.000, 0.000, 0.500)  0.01
Pt (0.500, 0.000, 0.000)  0.11
In (0.000, 0.000, 0.000)  -0.01